P | First-principles (PBE-GGA) data for an optimized crystal structure of Sm6MgIn5, as listed in Alexandria via LeMat-Bulk.

Cell and atoms, written as CIF:
```
data_Sm6MgIn5
_chemical_formula_sum 'Sm6 Mg1 In5'
_symmetry_space_group_name_H-M 'P 1 2/m 1'
_symmetry_Int_Tables_number 10
_symmetry_space_group_name_Hall '-P 2y'
_cell_length_a 5.430
_cell_length_b 7.616
_cell_length_c 8.587
_cell_angle_alpha 90.00
_cell_angle_beta 108.14
_cell_angle_gamma 90.00
loop_
_atom_site_label
_atom_site_type_symbol
_atom_site_fract_x
_atom_site_fract_y
_atom_site_fract_z
_atom_site_occupancy
Sm1 Sm 0.000 0.247 0.000 1
Sm2 Sm 0.332 0.251 0.663 1
Mg1 Mg 0.500 0.500 0.000 1
In1 In 0.161 0.500 0.321 1
In2 In 0.166 0.000 0.333 1
In3 In 0.500 0.000 0.000 1
```

Q | First-principles (PBE-GGA) data for an optimized crystal structure of Sm6MgIn5, as listed in Alexandria via LeMat-Bulk.

Cell and atoms, written as CIF:
```
data_Sm6MgIn5
_chemical_formula_sum 'Sm12 Mg2 In10'
_symmetry_space_group_name_H-M 'C 1 2/m 1'
_symmetry_Int_Tables_number 12
_symmetry_space_group_name_Hall '-C 2y'
_cell_length_a 6.509
_cell_length_b 11.325
_cell_length_c 10.110
_cell_angle_alpha 90.00
_cell_angle_beta 102.21
_cell_angle_gamma 90.00
loop_
_atom_site_label
_atom_site_type_symbol
_atom_site_fract_x
_atom_site_fract_y
_atom_site_fract_z
_atom_site_occupancy
Sm1 Sm 0.233 0.000 0.237 1
Sm2 Sm 0.239 0.171 0.741 1
Mg1 Mg 0.000 0.500 0.000 1
In1 In 0.000 0.000 0.500 1
In2 In 0.000 0.185 0.000 1
In3 In 0.000 0.351 0.500 1
```

We find P to be the most stable, with the next structure 0.188 eV/atom higher.